# 1
{"formula": "Sm2ThH6", "functional": "GGA-PBE", "state": "optimized geometry", "lattice": [[-1.9057, 1.9057, 8.1206], [1.9057, -1.9057, 8.1206], [1.9057, 1.9057, -8.1206]], "species": ["Sm", "Sm", "Th", "H", "H", "H", "H", "H", "H"], "frac_coords": [[0.1692, 0.1692, 0.0000], [0.8308, 0.8308, 0.0000], [0.5000, 0.5000, 0.0000], [0.0850, 0.5850, 0.5000], [0.2500, 0.7500, 0.5000], [0.4150, 0.9150, 0.5000], [0.5850, 0.0850, 0.5000], [0.7500, 0.2500, 0.5000], [0.9150, 0.4150, 0.5000]], "magmom_total_mub_per_fu": 0.00}

=====

# 2
{"formula": "SmThH2", "functional": "GGA-PBE", "state": "optimized geometry", "lattice": [[3.5126, 0.0000, 0.0000], [-1.7563, 3.0420, 0.0000], [0.0000, 0.0000, 18.8380]], "species": ["Sm", "Sm", "Sm", "Th", "Th", "Th", "H", "H", "H", "H", "H", "H"], "frac_coords": [[0.0000, 0.0000, 0.0000], [0.3333, 0.6667, 0.6667], [0.6667, 0.3333, 0.3333], [0.0000, 0.0000, 0.8259], [0.3333, 0.6667, 0.4926], [0.6667, 0.3333, 0.1592], [0.0000, 0.0000, 0.4090], [0.0000, 0.0000, 0.5872], [0.3333, 0.6667, 0.0756], [0.3333, 0.6667, 0.2539], [0.6667, 0.3333, 0.7423], [0.6667, 0.3333, 0.9206]], "magmom_total_mub_per_fu": 0.00, "polymorph_energy_kj_per_mol_fu": 41}

=====

# 3
{"formula": "SmThH2", "functional": "GGA-PBE", "state": "optimized geometry", "lattice": [[3.6108, 0.0000, 0.0000], [-1.8054, 3.1271, 0.0000], [0.0000, 0.0000, 17.8215]], "species": ["Sm", "Sm", "Sm", "Th", "Th", "Th", "H", "H", "H", "H", "H", "H"], "frac_coords": [[0.0000, 0.0000, 0.0000], [0.3333, 0.6667, 0.6667], [0.6667, 0.3333, 0.3333], [0.0000, 0.0000, 0.5000], [0.3333, 0.6667, 0.1667], [0.6667, 0.3333, 0.8333], [0.0000, 0.0000, 0.2489], [0.0000, 0.0000, 0.7511], [0.3333, 0.6667, 0.4178], [0.3333, 0.6667, 0.9156], [0.6667, 0.3333, 0.0844], [0.6667, 0.3333, 0.5822]], "magmom_total_mub_per_fu": 0.00, "polymorph_energy_kj_per_mol_fu": 0}

=====

# 4
{"formula": "SmTh2H8", "functional": "GGA-PBE", "state": "optimized geometry", "lattice": [[-1.8097, 2.9922, 5.4565], [1.8097, -2.9922, 5.4565], [1.8097, 2.9922, -5.4565]], "species": ["Sm", "Th", "Th", "H", "H", "H", "H", "H", "H", "H", "H"], "frac_coords": [[0.0000, 0.0000, 0.0000], [0.3310, 0.3310, 0.0000], [0.6690, 0.6690, 0.0000], [0.0885, 0.8366, 0.2519], [0.1704, 0.6704, 0.5000], [0.2583, 0.5000, 0.7583], [0.4153, 0.1634, 0.2519], [0.5847, 0.8366, 0.7481], [0.7417, 0.5000, 0.2417], [0.8296, 0.3296, 0.5000], [0.9115, 0.1634, 0.7481]], "magmom_total_mub_per_fu": 0.00}

=====

# 5
{"formula": "SmThH4", "functional": "GGA-PBE", "state": "optimized geometry", "lattice": [[3.8215, 0.0000, 0.0000], [0.0000, 3.8215, 0.0000], [0.0000, 0.0000, 5.4281]], "species": ["Sm", "Th", "H", "H", "H", "H"], "frac_coords": [[0.0000, 0.0000, 0.0000], [0.5000, 0.5000, 0.5000], [0.0000, 0.5000, 0.2481], [0.0000, 0.5000, 0.7519], [0.5000, 0.0000, 0.2481], [0.5000, 0.0000, 0.7519]], "magmom_total_mub_per_fu": 0.00}

=====

# 6
{"formula": "SmThH", "functional": "GGA-PBE", "state": "optimized geometry", "lattice": [[3.6350, 0.0000, 0.0000], [-1.8175, 3.1480, 0.0000], [0.0000, 0.0000, 5.9315]], "species": ["Sm", "Th", "H"], "frac_coords": [[0.0000, 0.0000, 0.0000], [0.6667, 0.3333, 0.5015], [0.3333, 0.6667, 0.7538]], "magmom_total_mub_per_fu": 0.00, "polymorph_energy_kj_per_mol_fu": 0}

=====

# 7
{"formula": "Sm3Ti5H12", "functional": "GGA-PBE", "state": "optimized geometry", "lattice": [[-5.9915, 5.9915, 5.9915], [5.9915, -5.9915, 5.9915], [5.9915, 5.9915, -5.9915]], "species": ["Sm", "Sm", "Sm", "Sm", "Sm", "Sm", "Sm", "Sm", "Sm", "Sm", "Sm", "Sm", "Ti", "Ti", "Ti", "Ti", "Ti", "Ti", "Ti", "Ti", "Ti", "Ti", "Ti", "Ti", "Ti", "Ti", "Ti", "Ti", "Ti", "Ti", "Ti", "Ti", "H", "H", "H", "H", "H", "H", "H", "H", "H", "H", "H", "H", "H", "H", "H", "H", "H", "H", "H", "H", "H", "H", "H", "H", "H", "H", "H", "H", "H", "H", "H", "H", "H", "H", "H", "H", "H", "H", "H", "H", "H", "H", "H", "H", "H", "H", "H", "H"], "frac_coords": [[0.1250, 0.2500, 0.3750], [0.1250, 0.3750, 0.7500], [0.2500, 0.3750, 0.1250], [0.2500, 0.8750, 0.6250], [0.3750, 0.1250, 0.2500], [0.3750, 0.7500, 0.1250], [0.6250, 0.2500, 0.8750], [0.6250, 0.8750, 0.7500], [0.7500, 0.1250, 0.3750], [0.7500, 0.6250, 0.8750], [0.8750, 0.6250, 0.2500], [0.8750, 0.7500, 0.6250], [0.0000, 0.0000, 0.0000], [0.0000, 0.0000, 0.5000], [0.0000, 0.5000, 0.0000], [0.0000, 0.5000, 0.5000], [0.1250, 0.7500, 0.8750], [0.1250, 0.8750, 0.2500], [0.2500, 0.1250, 0.8750], [0.2500, 0.6250, 0.3750], [0.3750, 0.2500, 0.6250], [0.3750, 0.6250, 0.7500], [0.5000, 0.0000, 0.0000], [0.5000, 0.0000, 0.5000], [0.5000, 0.5000, 0.0000], [0.5000, 0.5000, 0.5000], [0.6250, 0.3750, 0.2500], [0.6250, 0.7500, 0.3750], [0.7500, 0.3750, 0.6250], [0.7500, 0.8750, 0.1250], [0.8750, 0.1250, 0.7500], [0.8750, 0.2500, 0.1250], [0.0377, 0.2053, 0.1243], [0.0377, 0.3324, 0.9134], [0.0809, 0.7053, 0.6676], [0.0809, 0.8757, 0.4134], [0.0866, 0.6243, 0.4191], [0.0866, 0.9623, 0.6676], [0.1243, 0.0377, 0.2053], [0.1243, 0.5866, 0.9191], [0.1676, 0.2053, 0.5809], [0.1676, 0.4623, 0.5866], [0.2053, 0.1243, 0.0377], [0.2053, 0.5809, 0.1676], [0.2947, 0.3324, 0.9191], [0.2947, 0.4623, 0.3757], [0.3324, 0.9134, 0.0377], [0.3324, 0.9191, 0.2947], [0.3757, 0.2947, 0.4623], [0.3757, 0.5809, 0.9134], [0.4134, 0.0809, 0.8757], [0.4134, 0.8324, 0.5377], [0.4191, 0.0866, 0.6243], [0.4191, 0.8324, 0.7947], [0.4623, 0.3757, 0.2947], [0.4623, 0.5866, 0.1676], [0.5377, 0.4134, 0.8324], [0.5377, 0.6243, 0.7053], [0.5809, 0.1676, 0.2053], [0.5809, 0.9134, 0.3757], [0.5866, 0.1676, 0.4623], [0.5866, 0.9191, 0.1243], [0.6243, 0.4191, 0.0866], [0.6243, 0.7053, 0.5377], [0.6676, 0.0809, 0.7053], [0.6676, 0.0866, 0.9623], [0.7053, 0.5377, 0.6243], [0.7053, 0.6676, 0.0809], [0.7947, 0.4191, 0.8324], [0.7947, 0.8757, 0.9623], [0.8324, 0.5377, 0.4134], [0.8324, 0.7947, 0.4191], [0.8757, 0.4134, 0.0809], [0.8757, 0.9623, 0.7947], [0.9134, 0.0377, 0.3324], [0.9134, 0.3757, 0.5809], [0.9191, 0.1243, 0.5866], [0.9191, 0.2947, 0.3324], [0.9623, 0.6676, 0.0866], [0.9623, 0.7947, 0.8757]], "magmom_total_mub_per_fu": 0.01}

=====

# 8
{"formula": "Sm2TiH", "functional": "GGA-PBE", "state": "optimized geometry", "lattice": [[3.3032, 0.0000, 0.0000], [-1.6516, 2.8607, 0.0000], [0.0000, 0.0000, 27.2900]], "species": ["Sm", "Sm", "Sm", "Sm", "Sm", "Sm", "Ti", "Ti", "Ti", "H", "H", "H"], "frac_coords": [[0.0000, 0.0000, 0.1095], [0.0000, 0.0000, 0.8905], [0.3333, 0.6667, 0.5572], [0.3333, 0.6667, 0.7762], [0.6667, 0.3333, 0.2238], [0.6667, 0.3333, 0.4428], [0.0000, 0.0000, 0.0000], [0.3333, 0.6667, 0.6667], [0.6667, 0.3333, 0.3333], [0.0000, 0.0000, 0.5000], [0.3333, 0.6667, 0.1667], [0.6667, 0.3333, 0.8333]], "magmom_total_mub_per_fu": 1.87}

=====

# 9
{"formula": "SmTiH2", "functional": "GGA-PBE", "state": "optimized geometry", "lattice": [[3.1989, 0.0000, 0.0000], [-1.5994, 2.7703, 0.0000], [0.0000, 0.0000, 16.6915]], "species": ["Sm", "Sm", "Sm", "Ti", "Ti", "Ti", "H", "H", "H", "H", "H", "H"], "frac_coords": [[0.0000, 0.0000, 0.0000], [0.3333, 0.6667, 0.6667], [0.6667, 0.3333, 0.3333], [0.0000, 0.0000, 0.5000], [0.3333, 0.6667, 0.1667], [0.6667, 0.3333, 0.8333], [0.0000, 0.0000, 0.2217], [0.0000, 0.0000, 0.7783], [0.3333, 0.6667, 0.4449], [0.3333, 0.6667, 0.8884], [0.6667, 0.3333, 0.1116], [0.6667, 0.3333, 0.5551]], "magmom_total_mub_per_fu": 0.00}

=====

# 10
{"formula": "SmTiH3", "functional": "GGA-PBE", "state": "optimized geometry", "lattice": [[3.7833, 0.0000, 0.0000], [0.0000, 3.7833, 0.0000], [0.0000, 0.0000, 3.7833]], "species": ["Sm", "Ti", "H", "H", "H"], "frac_coords": [[0.0000, 0.0000, 0.0000], [0.5000, 0.5000, 0.5000], [0.0000, 0.5000, 0.5000], [0.5000, 0.0000, 0.5000], [0.5000, 0.5000, 0.0000]], "magmom_total_mub_per_fu": 0.00}

=====

# 11
{"formula": "Sm2TlH", "functional": "GGA-PBE", "state": "optimized geometry", "lattice": [[3.4490, 0.0000, 0.0000], [0.0000, 3.4490, 0.0000], [0.0000, 0.0000, 7.6513]], "species": ["Sm", "Sm", "Tl", "H"], "frac_coords": [[0.0000, 0.0000, 0.2118], [0.0000, 0.0000, 0.7882], [0.5000, 0.5000, 0.5000], [0.5000, 0.5000, 0.0000]], "magmom_total_mub_per_fu": 0.00, "polymorph_energy_kj_per_mol_fu": 151}

=====

# 12
{"formula": "Sm2TlH", "functional": "GGA-PBE", "state": "optimized geometry", "lattice": [[6.3483, 0.0000, 0.0000], [0.0000, 3.6596, 0.0000], [-2.1528, 0.0000, 8.0823]], "species": ["Sm", "Sm", "Sm", "Sm", "Tl", "Tl", "H", "H"], "frac_coords": [[0.0000, 0.0000, 0.0000], [0.2137, 0.0000, 0.6535], [0.5000, 0.5000, 0.0000], [0.7137, 0.5000, 0.6535], [0.4380, 0.0000, 0.3273], [0.9380, 0.5000, 0.3273], [0.1057, 0.5000, 0.8264], [0.6057, 0.0000, 0.8264]], "magmom_total_mub_per_fu": 0.00, "polymorph_energy_kj_per_mol_fu": 61}

=====

Summary of total energy in eV per atom
-4.733, -4.924, -5.031, -4.699, -4.854, -5.309, -5.051, -4.906, -5.023, -4.892, -3.843, -4.076
(order as listed above)